Run P
Cu3Ni2Pd6 | the Alexandria database | PBE-GGA | optimized geometry; mass density = 9.2 g cm⁻³; N(E_F) = 1.46 states/eV/atom
1.0
3.712 0.000 0.000
0.000 3.712 0.000
-1.856 -1.856 12.416
Pd Cu Ni
6 3 2
direct
0.572 0.072 0.144
0.072 0.572 0.144
0.262 0.262 0.524
0.738 0.738 0.476
0.928 0.428 0.856
0.428 0.928 0.856
0.844 0.844 0.689
0.156 0.156 0.311
0.000 0.000 0.000
0.642 0.642 0.284
0.358 0.358 0.716

=====

Run Q
Cu3Ni2Pd6 | the Alexandria database | PBE-GGA | optimized geometry; mass density = 10.3 g cm⁻³; N(E_F) = 1.47 states/eV/atom
1.0
4.384 -1.491 0.551
-1.555 5.911 2.526
0.187 5.863 9.465
Pd Ni Cu
6 2 3
direct
0.364 0.190 0.452
0.107 0.573 0.349
0.428 0.701 0.831
0.893 0.427 0.651
0.572 0.299 0.169
0.636 0.810 0.548
0.279 0.648 0.088
0.721 0.352 0.912
0.000 0.000 0.000
0.182 0.092 0.725
0.818 0.908 0.275

=====

The computed energies, referenced to the most stable structure and given in meV/atom, are run P 330; run Q 0.

=====

Run P
Cu4NiPd | the Alexandria database | PBE-GGA | optimized geometry; mass density = 8.9 g cm⁻³; N(E_F) = 0.51 states/eV/atom
1.0
-3.788 -2.215 -0.651
0.855 -3.134 5.689
-2.000 6.103 -0.109
Pd Cu Ni
2 8 2
direct
0.875 0.790 0.580
0.125 0.210 0.420
0.000 0.810 0.000
0.300 0.670 0.341
0.000 0.190 0.000
0.571 0.312 0.246
0.429 0.066 0.754
0.571 0.934 0.246
0.429 0.688 0.754
0.700 0.330 0.659
0.234 0.450 0.900
0.766 0.550 0.100

=====

Run Q
Cu4NiPd | the Alexandria database | PBE-GGA | optimized geometry; mass density = 9.4 g cm⁻³; N(E_F) = 0.32 states/eV/atom
1.0
3.606 0.001 1.779
-0.619 3.771 1.253
-2.304 -1.294 9.212
Cu Pd Ni
8 2 2
direct
0.592 0.092 0.315
0.093 0.592 0.315
0.408 0.908 0.685
0.328 0.328 0.845
0.828 0.828 0.845
0.172 0.172 0.155
0.672 0.672 0.155
0.907 0.408 0.685
0.000 0.000 0.500
0.500 0.500 0.500
0.750 0.250 0.000
0.250 0.750 0.000

=====

The computed energies, referenced to the most stable structure and given in meV/atom, are run P 121; run Q 0.